1.
Material: LiIn3Te
Method: DFT, PBE
State: optimized geometry

a b c (Å): 5.174 5.174 5.174
angles (deg): 90.00 90.00 90.00
Space group Pm-3m (No. 221)
Symmetry-distinct sites (fractional):
Li1 0.000 0.000 0.000 x1
In1 0.000 0.000 0.500 x3
Te1 0.500 0.500 0.500 x1

Output
Its formation energy from raw total energies is 0.0201 eV per atom. The value obtained for the energy relative to the lowest polymorph listed for this composition is 0 meV per atom.

---

2.
Material: NaInSn
Method: DFT, PBE
State: optimized geometry

a b c (Å): 3.468 3.468 13.776
angles (deg): 90.00 90.00 90.00
Space group I4mm (No. 107)
Symmetry-distinct sites (fractional):
Na1 0.000 0.000 0.000 x2
In1 0.000 0.000 0.677 x2
Sn1 0.000 0.000 0.327 x2

Output
The formation energy comes out at -114 meV per atom.

---

3.
Material: Sm8TeP3Se4
Method: DFT, PBE
State: optimized geometry

a b c (Å): 8.3755 8.3755 20.5527
angles (deg): 90.00 90.00 120.00
Space group R-3m (No. 166, hexagonal axes)
Symmetry-distinct sites (fractional):
Sm1 0.0000 0.0000 0.2433 x6
Sm2 0.0203 0.5102 0.7535 x18
Te1 0.0000 0.0000 0.5000 x3
P1 0.0000 0.5000 0.5000 x9
Se1 0.0000 0.0000 0.0000 x3
Se2 0.0000 0.5000 0.0000 x9

Output
Its formation energy from raw total energies is -1.7279 eV per atom.

---

4.
Material: LaMgZn2Ga
Method: DFT, PBE
State: optimized geometry

a b c (Å): 4.847 4.847 5.716
angles (deg): 90.00 90.00 90.00
Space group P4/mmm (No. 123)
Symmetry-distinct sites (fractional):
La1 0.000 0.000 0.000 x1
Mg1 0.500 0.500 0.000 x1
Zn1 0.000 0.500 0.500 x2
Ga1 0.000 0.000 0.500 x1

Output
The formation energy comes out at 175 meV per atom. The value obtained for the energy relative to the lowest polymorph listed for this composition is 0 meV per atom.

---

5.
Material: SrAl3Os
Method: DFT, PBE
State: optimized geometry

a b c (Å): 4.806 4.806 4.806
angles (deg): 90.00 90.00 90.00
Space group Pm-3m (No. 221)
Symmetry-distinct sites (fractional):
Sr1 0.000 0.000 0.000 x1
Al1 0.000 0.500 0.500 x3
Os1 0.500 0.500 0.500 x1

Output
The formation energy comes out at -314 meV per atom.

---

6.
Material: CeH4Ru
Method: DFT, PBE
State: optimized geometry

a b c (Å): 4.673 10.823 4.490
angles (deg): 90.00 90.00 90.00
Space group Cmcm (No. 63)
Symmetry-distinct sites (fractional):
Ce1 0.000 0.135 0.250 x4
H1 0.000 0.316 0.539 x8
H2 0.144 0.082 0.750 x8
Ru1 0.000 0.420 0.250 x4

Output
The value obtained for the energy relative to the lowest polymorph listed for this composition is 67 meV per atom.

---

7.
Material: Pm2SI
Method: DFT, PBE
State: optimized geometry

a b c (Å): 7.380 7.380 7.380
angles (deg): 90.00 90.00 90.00
Space group Fm-3m (No. 225)
Symmetry-distinct sites (fractional):
Pm1 0.250 0.250 0.250 x8
S1 0.000 0.000 0.000 x4
I1 0.000 0.000 0.500 x4

Output
Its formation energy from raw total energies is -1.1454 eV per atom. The value obtained for the energy relative to the lowest polymorph listed for this composition is 304 meV per atom.

---

8.
Material: PrAlGa3
Method: DFT, PBE
State: optimized geometry

a b c (Å): 4.324 4.560 6.124
angles (deg): 68.22 69.33 89.71
Space group P1 (No. 1)
Symmetry-distinct sites (fractional):
Pr1 0.000 0.000 0.000 x1
Al1 0.373 0.373 0.253 x1
Ga1 0.250 0.752 0.498 x1
Ga2 0.610 0.611 0.778 x1
Ga3 0.740 0.238 0.520 x1

Output
The formation energy comes out at -401 meV per atom. The value obtained for the energy relative to the lowest polymorph listed for this composition is 0 meV per atom.

---

9.
Material: YTlPbCl6
Method: DFT, PBE
State: optimized geometry

a b c (Å): 7.3471 7.3471 13.4994
angles (deg): 90.00 90.00 120.00
Space group P-31c (No. 163)
Symmetry-distinct sites (fractional):
Y1 0.3333 0.6667 0.2500 x2
Tl1 0.0000 0.0000 0.0000 x2
Pb1 0.3333 0.6667 0.7500 x2
Cl1 0.0262 0.3796 0.1371 x12

Output
Its formation energy from raw total energies is -1.6539 eV per atom.

---

10.
Material: RuPbW4
Method: DFT, PBE
State: optimized geometry

a b c (Å): 7.537 7.537 7.537
angles (deg): 90.00 90.00 90.00
Space group F-43m (No. 216)
Symmetry-distinct sites (fractional):
Ru1 0.000 0.000 0.000 x4
Pb1 0.250 0.250 0.250 x4
W1 0.124 0.124 0.624 x16

Output
The formation energy comes out at 772 meV per atom.

---

11.
Material: BeNiCl2
Method: DFT, PBE
State: optimized geometry

a b c (Å): 4.341 4.341 3.050
angles (deg): 90.00 90.00 90.00
Space group P4/mmm (No. 123)
Symmetry-distinct sites (fractional):
Be1 0.000 0.000 0.000 x1
Ni1 0.500 0.500 0.000 x1
Cl1 0.000 0.500 0.500 x2

Output
Its formation energy from raw total energies is 0.4776 eV per atom. The value obtained for the energy relative to the lowest polymorph listed for this composition is 936 meV per atom.

---

12.
Material: RbBIr2C
Method: DFT, PBE
State: optimized geometry

a b c (Å): 4.168 4.168 4.699
angles (deg): 90.00 90.00 90.00
Space group P4/mmm (No. 123)
Symmetry-distinct sites (fractional):
Rb1 0.000 0.000 0.000 x1
B1 0.500 0.500 0.500 x1
Ir1 0.000 0.500 0.500 x2
C1 0.500 0.500 0.000 x1

Output
The formation energy comes out at 1666 meV per atom.

---

13.
Material: GaHRh3
Method: DFT, PBE
State: optimized geometry

a b c (Å): 12.804 3.994 5.153
angles (deg): 90.00 97.46 90.00
Space group C2/m (No. 12)
Symmetry-distinct sites (fractional):
Ga1 0.214 0.000 0.179 x4
H1 0.013 0.500 0.257 x4
Rh1 0.019 0.000 0.265 x4
Rh2 0.106 0.500 0.990 x4
Rh3 0.185 0.000 0.653 x4

Output
The value obtained for the energy relative to the lowest polymorph listed for this composition is 215 meV per atom.

---

14.
Material: CuAg3
Method: DFT, PBE
State: optimized geometry

a b c (Å): 6.440 6.440 6.440
angles (deg): 90.00 90.00 90.00
Space group Fm-3m (No. 225)
Symmetry-distinct sites (fractional):
Cu1 0.000 0.000 0.000 x4
Ag1 0.000 0.000 0.500 x4
Ag2 0.250 0.250 0.250 x8

Output
The formation energy comes out at 129 meV per atom.

---

15.
Material: TbHo3Bi3
Method: DFT, PBE
State: optimized geometry

a b c (Å): 9.0799 9.0799 18.7930
angles (deg): 90.00 90.00 120.00
Space group R-3 (No. 148, hexagonal axes)
Symmetry-distinct sites (fractional):
Tb1 0.0000 0.0000 0.1664 x6
Ho1 0.0007 0.2555 0.5814 x18
Bi1 0.0015 0.3912 0.4149 x18

Output
The formation energy comes out at -638 meV per atom. The value obtained for the energy relative to the lowest polymorph listed for this composition is 74 meV per atom.

---

16.
Material: BaCaEr
Method: DFT, PBE
State: optimized geometry

a b c (Å): 4.185 4.185 14.595
angles (deg): 90.00 90.00 90.00
Space group I4mm (No. 107)
Symmetry-distinct sites (fractional):
Ba1 0.000 0.000 0.000 x2
Ca1 0.000 0.000 0.689 x2
Er1 0.000 0.000 0.327 x2

Output
The formation energy comes out at 207 meV per atom. The value obtained for the energy relative to the lowest polymorph listed for this composition is 104 meV per atom.

---

17.
Material: Cs3AlGe
Method: DFT, PBE
State: optimized geometry

a b c (Å): 7.174 7.174 7.174
angles (deg): 90.00 90.00 90.00
Space group Pm-3m (No. 221)
Symmetry-distinct sites (fractional):
Cs1 0.000 0.000 0.500 x3
Al1 0.500 0.500 0.500 x1
Ge1 0.000 0.000 0.000 x1

Output
The formation energy comes out at 574 meV per atom.

---

18.
Material: Pr2SnBi
Method: DFT, PBE
State: optimized geometry

a b c (Å): 4.5043 4.5043 23.4634
angles (deg): 90.00 90.00 120.00
Space group R-3m (No. 166, hexagonal axes)
Symmetry-distinct sites (fractional):
Pr1 0.0000 0.0000 0.2502 x6
Sn1 0.0000 0.0000 0.0000 x3
Bi1 0.0000 0.0000 0.5000 x3

Output
The formation energy comes out at -765 meV per atom. The value obtained for the energy relative to the lowest polymorph listed for this composition is 91 meV per atom.

---

19.
Material: Cs3TlAs2O8
Method: DFT, PBE
State: optimized geometry

a b c (Å): 6.0198 6.0198 8.8727
angles (deg): 90.00 90.00 120.00
Space group P-3m1 (No. 164)
Symmetry-distinct sites (fractional):
Cs1 0.0000 0.0000 0.0000 x1
Cs2 0.3333 0.6667 0.7655 x2
Tl1 0.0000 0.0000 0.5000 x1
As1 0.3333 0.6667 0.2861 x2
O1 0.1731 0.3462 0.3404 x6
O2 0.3333 0.6667 0.0944 x2

Output
Its formation energy from raw total energies is -1.3793 eV per atom.

---

20.
Material: Nd3SmHo
Method: DFT, PBE
State: optimized geometry

a b c (Å): 8.110 14.119 6.218
angles (deg): 90.00 90.00 90.00
Space group Cmcm (No. 63)
Symmetry-distinct sites (fractional):
Nd1 0.000 0.000 0.000 x4
Nd2 0.200 0.398 0.250 x8
Sm1 0.000 0.200 0.250 x4
Ho1 0.000 0.330 0.750 x4

Output
The formation energy comes out at 328 meV per atom. The value obtained for the energy relative to the lowest polymorph listed for this composition is 142 meV per atom.

---

no.,E_tot (eV per cell)
1,-13.2
2,-16.8
3,-296.1
4,-11.2
5,-25.7
6,-122.8
7,-79.0
8,-19.6
9,-77.0
10,-240.7
11,-11.3
12,-26.3
13,-115.3
14,-48.5
15,-206.9
16,-15.7
17,-8.0
18,-61.5
19,-73.2
20,-87.9